1.
Compound: BaLi2Co
Source: Alexandria via LeMat-Bulk
Functional: PBE
Structure: relaxed

Unit cell a=4.363 b=4.363 c=5.228 alpha=90.00 beta=90.00 gamma=90.00
Space group P4/mmm (No. 123)
Inequivalent atoms, fractional coordinates:
Ba 0.000 0.000 0.000 (multiplicity 1)
Li 0.000 0.500 0.500 (multiplicity 2)
Co 0.500 0.500 0.000 (multiplicity 1)

Properties
* size of the total moment: 1.174 μB/f.u.
* formation energy: 48.2 kJ/mol of atoms
* volume: 24.9 Å³ per atom


2.
Compound: Be5Br
Source: Alexandria via LeMat-Bulk
Functional: PBE
Structure: relaxed

Unit cell a=3.375 b=3.209 c=14.115 alpha=90.00 beta=90.00 gamma=90.00
Space group Amm2 (No. 38)
Inequivalent atoms, fractional coordinates:
Be 0.000 0.000 0.000 (multiplicity 2)
Be 0.000 0.000 0.197 (multiplicity 2)
Be 0.000 0.000 0.595 (multiplicity 2)
Be 0.500 0.000 0.104 (multiplicity 2)
Be 0.500 0.000 0.495 (multiplicity 2)
Br 0.500 0.000 0.860 (multiplicity 2)

Properties
* size of the total moment: 0.000 μB/f.u.
* formation energy (no corrections): 9.531 kcal/mol of atoms
* volume: 12.7 Å³ per atom


3.
Compound: Y2HoTmSc
Source: Alexandria via LeMat-Bulk
Functional: PBE
Structure: relaxed

Unit cell a=6.298 b=15.937 c=6.305 alpha=90.00 beta=90.00 gamma=90.00
Space group Cmcm (No. 63)
Inequivalent atoms, fractional coordinates:
Y 0.248 0.000 0.000 (multiplicity 8)
Ho 0.000 0.340 0.250 (multiplicity 4)
Tm 0.000 0.250 0.750 (multiplicity 4)
Sc 0.000 0.156 0.250 (multiplicity 4)

Properties
* size of the total moment: 0.019 μB/f.u.
* formation energy: 39.0 kJ/mol of atoms
* volume: 31.6 Å³ per atom


4.
Compound: Tb3Sm4Er
Source: Alexandria via LeMat-Bulk
Functional: PBE
Structure: relaxed

Unit cell a=11.478 b=7.307 c=6.311 alpha=90.00 beta=90.00 gamma=90.00
Space group Pmn2_1 (No. 31)
Inequivalent atoms, fractional coordinates:
Tb 0.000 0.124 0.000 (multiplicity 2)
Tb 0.250 0.123 0.333 (multiplicity 4)
Sm 0.000 0.374 0.501 (multiplicity 2)
Sm 0.000 0.627 0.999 (multiplicity 2)
Sm 0.249 0.627 0.334 (multiplicity 4)
Er 0.000 0.878 0.500 (multiplicity 2)

Properties
* size of the total moment: 0.000 μB/f.u.
* formation energy: 2.2 kJ/mol of atoms
* volume: 33.1 Å³ per atom


5.
Compound: K3Tl7Pt4
Source: Alexandria via LeMat-Bulk
Functional: PBE
Structure: relaxed

Unit cell a=18.033 b=4.726 c=10.557 alpha=90.00 beta=123.15 gamma=90.00
Space group C2/m (No. 12)
Inequivalent atoms, fractional coordinates:
K 0.000 0.000 0.000 (multiplicity 2)
K 0.187 0.500 0.694 (multiplicity 4)
Tl 0.000 0.000 0.500 (multiplicity 2)
Tl 0.002 0.500 0.732 (multiplicity 4)
Tl 0.166 0.000 0.434 (multiplicity 4)
Tl 0.191 0.500 0.045 (multiplicity 4)
Pt 0.120 0.000 0.841 (multiplicity 4)
Pt 0.161 0.500 0.284 (multiplicity 4)

Properties
* size of the total moment: 0.000 μB/f.u.
* formation energy: -13.3 kJ/mol of atoms
* volume: 26.9 Å³ per atom


6.
Compound: Mg2BO
Source: Alexandria via LeMat-Bulk
Functional: PBE
Structure: relaxed

Unit cell a=5.808 b=5.808 c=5.808 alpha=90.00 beta=90.00 gamma=90.00
Space group Fm-3m (No. 225)
Inequivalent atoms, fractional coordinates:
Mg 0.250 0.250 0.250 (multiplicity 8)
B 0.000 0.000 0.000 (multiplicity 4)
O 0.000 0.000 0.500 (multiplicity 4)

Properties
* size of the total moment: 1.230 μB/f.u.
* formation energy (no corrections): 1.443 kcal/mol of atoms
* volume: 12.2 Å³ per atom


7.
Compound: BeOsRu
Source: Alexandria via LeMat-Bulk
Functional: PBE
Structure: relaxed

Unit cell a=4.248 b=7.098 c=4.969 alpha=90.00 beta=90.00 gamma=90.00
Space group Cmcm (No. 63)
Inequivalent atoms, fractional coordinates:
Be 0.000 0.175 0.250 (multiplicity 4)
Os 0.000 0.161 0.750 (multiplicity 4)
Ru 0.000 0.500 0.000 (multiplicity 4)

Properties
* size of the total moment: 0.764 μB/f.u.
* formation energy: 26.9 kJ/mol of atoms
* volume: 12.5 Å³ per atom


8.
Compound: CdSbOs2
Source: Alexandria via LeMat-Bulk
Functional: PBE
Structure: relaxed

Unit cell a=3.101 b=4.518 c=5.074 alpha=90.00 beta=90.00 gamma=90.00
Space group Pmmm (No. 47)
Inequivalent atoms, fractional coordinates:
Cd 0.000 0.000 0.000 (multiplicity 1)
Sb 0.500 0.000 0.500 (multiplicity 1)
Os 0.000 0.500 0.500 (multiplicity 1)
Os 0.500 0.500 0.000 (multiplicity 1)

Properties
* size of the total moment: 0.000 μB/f.u.
* formation energy (no corrections): 21.723 kcal/mol of atoms
* volume: 17.8 Å³ per atom


9.
Compound: Y2ErInC
Source: Alexandria via LeMat-Bulk
Functional: PBE
Structure: relaxed

Unit cell a=4.929 b=4.929 c=4.876 alpha=90.00 beta=90.00 gamma=90.00
Space group P4/mmm (No. 123)
Inequivalent atoms, fractional coordinates:
Y 0.000 0.500 0.000 (multiplicity 2)
Er 0.000 0.000 0.500 (multiplicity 1)
In 0.500 0.500 0.500 (multiplicity 1)
C 0.000 0.000 0.000 (multiplicity 1)

Properties
* size of the total moment: 0.000 μB/f.u.
* formation energy: -51.9 kJ/mol of atoms
* volume: 23.7 Å³ per atom


10.
Compound: Mg2Zn5CuRu2
Source: Alexandria via LeMat-Bulk
Functional: PBE
Structure: relaxed

Unit cell a=9.643 b=9.643 c=3.467 alpha=90.00 beta=90.00 gamma=90.00
Space group P4/mbm (No. 127)
Inequivalent atoms, fractional coordinates:
Mg 0.167 0.333 0.000 (multiplicity 4)
Zn 0.000 0.500 0.500 (multiplicity 2)
Zn 0.067 0.814 0.500 (multiplicity 8)
Cu 0.000 0.000 0.000 (multiplicity 2)
Ru 0.133 0.633 0.000 (multiplicity 4)

Properties
* size of the total moment: 0.000 μB/f.u.
* formation energy: -3.6 kJ/mol of atoms
* volume: 16.1 Å³ per atom


11.
Compound: MgHg2Se2
Source: Alexandria via LeMat-Bulk
Functional: PBE
Structure: relaxed

Unit cell a=7.623 b=7.623 c=4.569 alpha=90.00 beta=90.00 gamma=90.00
Space group P4/mbm (No. 127)
Inequivalent atoms, fractional coordinates:
Mg 0.000 0.000 0.000 (multiplicity 2)
Hg 0.126 0.374 0.500 (multiplicity 4)
Se 0.220 0.720 0.000 (multiplicity 4)

Properties
* size of the total moment: 0.000 μB/f.u.
* formation energy (no corrections): -5.908 kcal/mol of atoms
* volume: 26.5 Å³ per atom


12.
Compound: ZnRh2Au
Source: Alexandria via LeMat-Bulk
Functional: PBE
Structure: relaxed

Unit cell a=2.8111 b=2.8111 c=26.6190 alpha=90.00 beta=90.00 gamma=120.00
Space group R3m (No. 160, hexagonal axes)
Inequivalent atoms, fractional coordinates:
Zn 0.0000 0.0000 0.0000 (multiplicity 3)
Rh 0.0000 0.0000 0.2552 (multiplicity 3)
Rh 0.0000 0.0000 0.5084 (multiplicity 3)
Au 0.0000 0.0000 0.7519 (multiplicity 3)

Properties
* size of the total moment: 0.758 μB/f.u.
* formation energy: -1.7 kJ/mol of atoms
* volume: 15.2 Å³ per atom


13.
Compound: In9Pt13
Source: Alexandria via LeMat-Bulk
Functional: PBE
Structure: relaxed

Unit cell a=11.351 b=8.942 c=9.670 alpha=90.00 beta=125.59 gamma=90.00
Space group C2/m (No. 12)
Inequivalent atoms, fractional coordinates:
In 0.000 0.000 0.000 (multiplicity 2)
In 0.036 0.289 0.809 (multiplicity 8)
In 0.179 0.500 0.620 (multiplicity 4)
In 0.203 0.000 0.665 (multiplicity 4)
Pt 0.000 0.253 0.500 (multiplicity 4)
Pt 0.000 0.500 0.000 (multiplicity 2)
Pt 0.044 0.000 0.321 (multiplicity 4)
Pt 0.199 0.241 0.158 (multiplicity 8)
Pt 0.244 0.000 0.992 (multiplicity 4)
Pt 0.250 0.250 0.500 (multiplicity 4)

Properties
* size of the total moment: 0.000 μB/f.u.
* formation energy: -43.1 kJ/mol of atoms
* volume: 18.1 Å³ per atom


14.
Compound: KSn3Pb3
Source: Alexandria via LeMat-Bulk
Functional: PBE
Structure: relaxed

Unit cell a=9.2441 b=9.2441 c=5.8313 alpha=90.00 beta=90.00 gamma=120.00
Space group P6_3/m (No. 176)
Inequivalent atoms, fractional coordinates:
K 0.3333 0.6667 0.2500 (multiplicity 2)
Sn 0.0339 0.8147 0.2500 (multiplicity 6)
Pb 0.0929 0.6291 0.7500 (multiplicity 6)

Properties
* size of the total moment: 0.000 μB/f.u.
* formation energy: 0.8 kJ/mol of atoms
* volume: 30.8 Å³ per atom


15.
Compound: Zn2WCl
Source: Alexandria via LeMat-Bulk
Functional: PBE
Structure: relaxed

Unit cell a=6.553 b=6.553 c=6.553 alpha=90.00 beta=90.00 gamma=90.00
Space group Fm-3m (No. 225)
Inequivalent atoms, fractional coordinates:
Zn 0.250 0.250 0.250 (multiplicity 8)
W 0.000 0.000 0.000 (multiplicity 4)
Cl 0.000 0.000 0.500 (multiplicity 4)

Properties
* size of the total moment: 1.414 μB/f.u.
* formation energy (no corrections): 26.925 kcal/mol of atoms
* volume: 17.6 Å³ per atom


16.
Compound: BaPtPb2
Source: Alexandria via LeMat-Bulk
Functional: PBE
Structure: relaxed

Unit cell a=6.169 b=8.808 c=4.709 alpha=90.00 beta=90.00 gamma=90.00
Space group Cmmm (No. 65)
Inequivalent atoms, fractional coordinates:
Ba 0.000 0.000 0.000 (multiplicity 2)
Pt 0.000 0.500 0.000 (multiplicity 2)
Pb 0.000 0.320 0.500 (multiplicity 4)

Properties
* size of the total moment: 0.000 μB/f.u.
* formation energy: -49.0 kJ/mol of atoms
* volume: 32.0 Å³ per atom


17.
Compound: Ho3Th5H12
Source: Alexandria via LeMat-Bulk
Functional: PBE
Structure: relaxed

Unit cell a=13.334 b=13.334 c=13.334 alpha=90.00 beta=90.00 gamma=90.00
Space group Ia-3d (No. 230)
Inequivalent atoms, fractional coordinates:
Ho 0.000 0.250 0.125 (multiplicity 24)
Th 0.000 0.000 0.000 (multiplicity 16)
Th 0.000 0.250 0.375 (multiplicity 24)
H 0.004 0.073 0.157 (multiplicity 96)

Properties
* size of the total moment: 0.000 μB/f.u.
* E_tot: -4.933 eV/atom
* volume: 14.8 Å³ per atom


18.
Compound: RbNa5Pb2
Source: Alexandria via LeMat-Bulk
Functional: PBE
Structure: relaxed

Unit cell a=4.463 b=10.474 c=12.950 alpha=90.00 beta=90.00 gamma=90.00
Space group Immm (No. 71)
Inequivalent atoms, fractional coordinates:
Rb 0.000 0.000 0.000 (multiplicity 2)
Na 0.000 0.199 0.338 (multiplicity 8)
Na 0.000 0.500 0.000 (multiplicity 2)
Pb 0.000 0.500 0.251 (multiplicity 4)

Properties
* size of the total moment: 0.000 μB/f.u.
* formation energy: -7.3 kJ/mol of atoms
* volume: 37.8 Å³ per atom


19.
Compound: Nd2UC
Source: Alexandria via LeMat-Bulk
Functional: PBE
Structure: relaxed

Unit cell a=3.4944 b=3.4944 c=29.4487 alpha=90.00 beta=90.00 gamma=120.00
Space group R-3m (No. 166, hexagonal axes)
Inequivalent atoms, fractional coordinates:
Nd 0.0000 0.0000 0.1171 (multiplicity 6)
U 0.0000 0.0000 0.0000 (multiplicity 3)
C 0.0000 0.0000 0.5000 (multiplicity 3)

Properties
* size of the total moment: 3.198 μB/f.u.
* formation energy: 43.1 kJ/mol of atoms
* volume: 26.0 Å³ per atom


20.
Compound: Sr2TaCuO6
Source: Alexandria via LeMat-Bulk
Functional: PBE
Structure: relaxed

Unit cell a=10.761 b=5.374 c=5.317 alpha=90.00 beta=118.98 gamma=90.00
Space group C2/m (No. 12)
Inequivalent atoms, fractional coordinates:
Sr 0.247 0.000 0.224 (multiplicity 4)
Ta 0.000 0.500 0.000 (multiplicity 2)
Cu 0.000 0.000 0.500 (multiplicity 2)
O 0.048 0.240 0.787 (multiplicity 8)
O 0.204 0.500 0.277 (multiplicity 4)

Properties
* size of the total moment: 0.000 μB/f.u.
* formation energy (no corrections): -54.192 kcal/mol of atoms
* volume: 13.5 Å³ per atom